(1)
Material: ErMgZnSn
Method: DFT, PBE
State: relaxed

Properties
E above lowest polymorph in eV per atom: 0.000

Cell lengths 4.2687, 4.4925, 4.5884 Å; angles 90.00, 90.00, 90.00 degrees
Last column: nearest neighbours and their distance in Å.
Sites, in units of the cell vectors:
Er: 0.0000 0.0000 0.0000  4 Sn 3.10, 4 Zn 3.13, 4 Mg 3.21
Mg: 0.0000 0.5000 0.5000  4 Zn 3.10, 4 Sn 3.13, 4 Er 3.21
Zn: 0.5000 0.0000 0.5000  4 Mg 3.10, 4 Er 3.13, 4 Sn 3.21
Sn: 0.5000 0.5000 0.0000  4 Er 3.10, 4 Mg 3.13, 4 Zn 3.21

(2)
Material: BaAs2Ru2
Method: DFT, PBE
State: relaxed

Properties
Final energy in hartree per atom: -0.24443

Cell lengths 6.8591, 6.8591, 6.8591 Å; angles 144.30, 144.30, 51.38 degrees
Last column: nearest neighbours and their distance in Å.
Sites, in units of the cell vectors:
Ba: 0.0000 0.0000 0.0000  8 As 3.50, 8 Ru 3.74
As: 0.3502 0.3502 0.0000  4 Ru 2.44
As: 0.6498 0.6498 0.0000  4 Ru 2.44
Ru: 0.2500 0.7500 0.5000  4 As 2.44
Ru: 0.7500 0.2500 0.5000  4 As 2.44

(3)
Material: Rb2SmBr5
Method: DFT, PBE
State: relaxed

Properties
E above lowest polymorph in eV per atom: 0.091
Formation energy (no corrections) in eV per atom: -1.763

Cell lengths 7.7879, 7.7879, 8.5264 Å; angles 123.04, 123.04, 66.38 degrees
Last column: nearest neighbours and their distance in Å.
Sites, in units of the cell vectors:
Rb: 0.0000 0.0000 0.0000  4 Br 3.68-3.70
Rb: 0.5000 0.5000 0.4981  4 Br 3.69
Sm: 0.2650 0.2650 0.7647  5 Br 2.66-2.83
Br: 0.4433 0.9816 0.9424  1 Sm 2.83
Br: 0.4454 0.9847 0.4837  1 Sm 2.83
Br: 0.5344 0.5344 0.0366  1 Sm 2.66
Br: 0.9816 0.4433 0.9424  1 Sm 2.83
Br: 0.9847 0.4454 0.4837  1 Sm 2.83

What did the first record say?
Material: ErMgZnSn
Method: DFT, PBE
State: relaxed

Properties
E above lowest polymorph in eV per atom: 0.000

Cell lengths 4.2687, 4.4925, 4.5884 Å; angles 90.00, 90.00, 90.00 degrees
Last column: nearest neighbours and their distance in Å.
Sites, in units of the cell vectors:
Er: 0.0000 0.0000 0.0000  4 Sn 3.10, 4 Zn 3.13, 4 Mg 3.21
Mg: 0.0000 0.5000 0.5000  4 Zn 3.10, 4 Sn 3.13, 4 Er 3.21
Zn: 0.5000 0.0000 0.5000  4 Mg 3.10, 4 Er 3.13, 4 Sn 3.21
Sn: 0.5000 0.5000 0.0000  4 Er 3.10, 4 Mg 3.13, 4 Zn 3.21

Question: Which formula does entry 1 have?
Answer: ErMgZnSn